Record 1
# PBE BaSr2Mg, relaxed
# SG = Cm (8)
# V = 47.79 Å³ per atom
# Fermi-level density of states = 5.34 states/eV/f.u.
# spin magnetization = 0.000 μB/f.u.
# calculated formation energy = 0.03 eV/atom
# raw total energy = -1.69 eV/atom
data_BaSr2Mg
_cell_length_a 7.5985
_cell_length_b 7.5985
_cell_length_c 6.4842
_cell_angle_alpha 115.18
_cell_angle_beta 115.18
_cell_angle_gamma 34.78
_symmetry_space_group_name_H-M 'P 1'
_symmetry_Int_Tables_number 1
_symmetry_space_group_name_Hall 'P 1'
loop_
_atom_site_label
_atom_site_type_symbol
_atom_site_fract_x
_atom_site_fract_y
_atom_site_fract_z
Ba1 Ba 0.0000 0.0000 0.0000
Sr1 Sr 0.2165 0.2165 0.7153
Sr2 Sr 0.4373 0.4373 0.4374
Mg1 Mg 0.7240 0.7240 0.2207


Record 2
# PBE Cr2AuS, relaxed
# raw formation energy = 22.8 kJ/mol of atoms
# SG = I-42d (122)
# V = 17.24 Å³ per atom
# Fermi-level density of states = 4.11 states/eV/f.u.
# spin magnetization = 6.708 μB/f.u.
# raw total energy = -6.43 eV/atom
data_Cr2AuS
_cell_length_a 5.6440
_cell_length_b 5.6440
_cell_length_c 5.6440
_cell_angle_alpha 107.53
_cell_angle_beta 107.53
_cell_angle_gamma 113.42
_symmetry_space_group_name_H-M 'P 1'
_symmetry_Int_Tables_number 1
_symmetry_space_group_name_Hall 'P 1'
loop_
_atom_site_label
_atom_site_type_symbol
_atom_site_fract_x
_atom_site_fract_y
_atom_site_fract_z
Cr1 Cr 0.0746 0.6250 0.9496
Cr2 Cr 0.3750 0.3246 0.4496
Cr3 Cr 0.6754 0.1250 0.0504
Cr4 Cr 0.8750 0.9254 0.5504
Au1 Au 0.2500 0.7500 0.5000
Au2 Au 0.5000 0.5000 0.0000
S1 S 0.0000 0.0000 0.0000
S2 S 0.7500 0.2500 0.5000


Record 3
# PBE K3Cd2Au3, relaxed
# SG = Pnma (62)
# V = 31.67 Å³ per atom
# Fermi-level density of states = 2.81 states/eV/f.u.
# spin magnetization = 0.000 μB/f.u.
# calculated formation energy = -0.27 eV/atom
# raw total energy = -2.13 eV/atom
data_K3Cd2Au3
_cell_length_a 9.5232
_cell_length_b 16.2268
_cell_length_c 6.5584
_cell_angle_alpha 90.00
_cell_angle_beta 90.00
_cell_angle_gamma 90.00
_symmetry_space_group_name_H-M 'P 1'
_symmetry_Int_Tables_number 1
_symmetry_space_group_name_Hall 'P 1'
loop_
_atom_site_label
_atom_site_type_symbol
_atom_site_fract_x
_atom_site_fract_y
_atom_site_fract_z
K1 K 0.0584 0.1060 0.1187
K2 K 0.0584 0.3940 0.1187
K3 K 0.2105 0.2500 0.5834
K4 K 0.2895 0.7500 0.0834
K5 K 0.4416 0.6060 0.6187
K6 K 0.4416 0.8940 0.6187
K7 K 0.5584 0.1060 0.3813
K8 K 0.5584 0.3940 0.3813
K9 K 0.7105 0.2500 0.9166
K10 K 0.7895 0.7500 0.4166
K11 K 0.9416 0.6060 0.8813
K12 K 0.9416 0.8940 0.8813
Cd1 Cd 0.0941 0.5905 0.4020
Cd2 Cd 0.0941 0.9095 0.4020
Cd3 Cd 0.4059 0.0905 0.9020
Cd4 Cd 0.4059 0.4095 0.9020
Cd5 Cd 0.5941 0.5905 0.0980
Cd6 Cd 0.5941 0.9095 0.0980
Cd7 Cd 0.9059 0.0905 0.5980
Cd8 Cd 0.9059 0.4095 0.5980
Au1 Au 0.1356 0.7500 0.5738
Au2 Au 0.1902 0.0462 0.6389
Au3 Au 0.1902 0.4538 0.6389
Au4 Au 0.3098 0.5462 0.1389
Au5 Au 0.3098 0.9538 0.1389
Au6 Au 0.3644 0.2500 0.0738
Au7 Au 0.6356 0.7500 0.9262
Au8 Au 0.6902 0.0462 0.8611
Au9 Au 0.6902 0.4538 0.8611
Au10 Au 0.8098 0.5462 0.3611
Au11 Au 0.8098 0.9538 0.3611
Au12 Au 0.8644 0.2500 0.4262


Record 4
# PBE FeOsW2, relaxed
# SG = Imm2 (44)
# V = 14.77 Å³ per atom
# Fermi-level density of states = 2.91 states/eV/f.u.
# spin magnetization = 2.377 μB/f.u.
# calculated formation energy = 0.20 eV/atom
# raw total energy = -11.20 eV/atom
data_FeOsW2
_cell_length_a 5.0977
_cell_length_b 5.0977
_cell_length_c 5.0977
_cell_angle_alpha 144.32
_cell_angle_beta 129.30
_cell_angle_gamma 63.53
_symmetry_space_group_name_H-M 'P 1'
_symmetry_Int_Tables_number 1
_symmetry_space_group_name_Hall 'P 1'
loop_
_atom_site_label
_atom_site_type_symbol
_atom_site_fract_x
_atom_site_fract_y
_atom_site_fract_z
Fe1 Fe 0.0000 0.0000 0.0000
Os1 Os 0.2559 0.7559 0.5000
W1 W 0.5115 0.5115 0.0000
W2 W 0.7599 0.2599 0.5000


Record 5
# PBE CrHAu2, relaxed
# SG = Fm-3m (225)
# V = 15.00 Å³ per atom
# Fermi-level density of states = 1.73 states/eV/f.u.
# spin magnetization = 3.363 μB/f.u.
# raw total energy = -4.24 eV/atom
data_CrHAu2
_cell_length_a 4.3940
_cell_length_b 4.3940
_cell_length_c 4.3940
_cell_angle_alpha 60.00
_cell_angle_beta 60.00
_cell_angle_gamma 60.00
_symmetry_space_group_name_H-M 'P 1'
_symmetry_Int_Tables_number 1
_symmetry_space_group_name_Hall 'P 1'
loop_
_atom_site_label
_atom_site_type_symbol
_atom_site_fract_x
_atom_site_fract_y
_atom_site_fract_z
Cr1 Cr 0.0000 0.0000 0.0000
H1 H 0.5000 0.5000 0.5000
Au1 Au 0.2500 0.2500 0.2500
Au2 Au 0.7500 0.7500 0.7500


Record 6
# PBE AlGaF2, relaxed
# raw formation energy = -153.4 kJ/mol of atoms
# SG = I4_1/amd (141)
# V = 18.04 Å³ per atom
# Fermi-level density of states = 1.07 states/eV/f.u.
# spin magnetization = 0.000 μB/f.u.
# raw total energy = -4.22 eV/atom
data_AlGaF2
_cell_length_a 6.0785
_cell_length_b 6.0785
_cell_length_c 6.0785
_cell_angle_alpha 125.24
_cell_angle_beta 125.24
_cell_angle_gamma 81.14
_symmetry_space_group_name_H-M 'P 1'
_symmetry_Int_Tables_number 1
_symmetry_space_group_name_Hall 'P 1'
loop_
_atom_site_label
_atom_site_type_symbol
_atom_site_fract_x
_atom_site_fract_y
_atom_site_fract_z
Al1 Al 0.3750 0.6250 0.7500
Al2 Al 0.6250 0.3750 0.2500
Ga1 Ga 0.1250 0.8750 0.2500
Ga2 Ga 0.8750 0.1250 0.7500
F1 F 0.0000 0.5000 0.5000
F2 F 0.5000 0.0000 0.0000
F3 F 0.5000 0.5000 0.0000
F4 F 0.5000 0.5000 0.5000


Record 7
# PBE ErLuAl, relaxed
# SG = P3m1 (156)
# V = 25.20 Å³ per atom
# Fermi-level density of states = 2.17 states/eV/f.u.
# spin magnetization = 0.000 μB/f.u.
# calculated formation energy = -0.15 eV/atom
# raw total energy = -4.43 eV/atom
data_ErLuAl
_cell_length_a 5.0039
_cell_length_b 5.0039
_cell_length_c 3.4869
_cell_angle_alpha 90.00
_cell_angle_beta 90.00
_cell_angle_gamma 120.00
_symmetry_space_group_name_H-M 'P 1'
_symmetry_Int_Tables_number 1
_symmetry_space_group_name_Hall 'P 1'
loop_
_atom_site_label
_atom_site_type_symbol
_atom_site_fract_x
_atom_site_fract_y
_atom_site_fract_z
Er1 Er 0.0000 0.0000 0.0000
Lu1 Lu 0.6667 0.3333 0.5588
Al1 Al 0.3333 0.6667 0.3032


Record 8
# PBE Ca2Ce4Sb3N2, relaxed
# raw formation energy = -108.1 kJ/mol of atoms
# SG = I4/mmm (139)
# V = 26.48 Å³ per atom
# Fermi-level density of states = 19.15 states/eV/f.u.
# spin magnetization = 2.769 μB/f.u.
# raw total energy = -6.28 eV/atom
data_Ca2Ce4Sb3N2
_cell_length_a 13.3412
_cell_length_b 13.3412
_cell_length_c 13.3412
_cell_angle_alpha 159.49
_cell_angle_beta 159.49
_cell_angle_gamma 29.16
_symmetry_space_group_name_H-M 'P 1'
_symmetry_Int_Tables_number 1
_symmetry_space_group_name_Hall 'P 1'
loop_
_atom_site_label
_atom_site_type_symbol
_atom_site_fract_x
_atom_site_fract_y
_atom_site_fract_z
Ca1 Ca 0.1964 0.1964 0.0000
Ca2 Ca 0.8036 0.8036 0.0000
Ce1 Ce 0.0861 0.5861 0.5000
Ce2 Ce 0.4139 0.9139 0.5000
Ce3 Ce 0.5861 0.0861 0.5000
Ce4 Ce 0.9139 0.4139 0.5000
Sb1 Sb 0.3217 0.3217 0.0000
Sb2 Sb 0.5000 0.5000 0.0000
Sb3 Sb 0.6783 0.6783 0.0000
N1 N 0.1010 0.1010 0.0000
N2 N 0.8990 0.8990 0.0000